Record 1
This record from Alexandria describes OsPb2Au after structural relaxation. The functional is PBE.

Properties
The calculation puts the density at 10.5 g cm⁻³.

a b c (Å): 6.212 6.212 7.882
angles (deg): 66.79 66.79 90.00
Atoms (fractional coordinates):
1 Pb 0.593 0.125 0.250
2 Pb 0.157 0.625 0.250
3 Pb 0.375 0.407 0.750
4 Pb 0.875 0.843 0.750
5 Os 0.500 0.500 0.000
6 Os 0.250 0.750 0.500
7 Au 0.000 0.000 0.000
8 Au 0.750 0.250 0.500


Record 2
This record from Alexandria describes Os2PbAu after structural relaxation. The functional is PBE.

Properties
The calculation puts the density at 17.9 g cm⁻³.

a b c (Å): 2.881 2.881 10.109
angles (deg): 90.00 90.00 119.73
Atoms (fractional coordinates):
1 Au 0.500 0.500 0.750
2 Os 0.000 0.000 0.984
3 Os 0.000 0.000 0.516
4 Pb 0.500 0.500 0.250


Record 3
This record from Alexandria describes OsPb2Au after structural relaxation. The functional is PBE.

Properties
The calculation puts the density at 15.4 g cm⁻³.

a b c (Å): 4.633 3.481 5.645
angles (deg): 72.07 90.00 90.00
Atoms (fractional coordinates):
1 Au 0.000 0.704 0.467
2 Os 0.500 0.546 0.781
3 Pb 0.000 0.975 0.925
4 Pb 0.500 0.274 0.327


Number 1: energy of formation from the pure elements 0.96 eV/atom. Number 2: energy of formation from the pure elements 1.20 eV/atom. Number 3: energy of formation from the pure elements 0.54 eV/atom.